Material: MnFe3O
Method: DFT, PBE with a Hubbard U
State: optimized geometry

Distance to the lowest polymorph of the same formula (meV per atom): 0.0
D(E_F) (states/eV/cell): 2.6
E_tot (eV/atom): -5.67

Lattice parameters (Å, degrees): 4.2487 4.2487 4.2487 90.00 90.00 90.00
Site moments in Bohr magnetons follow the coordinates.
Element x y z (fractional)
Mn 0.5000 0.5000 0.5000  4.30
Fe 0.0000 0.5000 0.0000  3.61
Fe 0.0000 0.0000 0.5000  3.64
Fe 0.5000 0.0000 0.0000  3.51
O 0.0000 0.0000 0.0000  0.18